Entry A
TmNiSnC: relaxed, GGA-PBE.

Results
crystal system = hexagonal

Unit cell a=4.226 b=4.226 c=8.557 alpha=90.00 beta=90.00 gamma=120.00
Sites, in units of the cell vectors:
Tm: 0.000 0.000 0.000
Tm: 0.333 0.667 0.500
Ni: 0.333 0.667 0.156
Ni: 0.333 0.667 0.844
Sn: 0.667 0.333 0.258
Sn: 0.667 0.333 0.742
C: 0.000 0.000 0.296
C: 0.000 0.000 0.704

---

Entry B
TmNiSnC: relaxed, GGA-PBE.

Results
crystal system = trigonal

Unit cell a=4.375 b=4.375 c=7.589 alpha=90.00 beta=90.00 gamma=120.00
Sites, in units of the cell vectors:
Tm: 0.333 0.667 0.299
Tm: 0.667 0.333 0.701
Ni: 0.333 0.667 0.893
Ni: 0.667 0.333 0.107
Sn: 0.000 0.000 0.000
Sn: 0.000 0.000 0.500
C: 0.333 0.667 0.643
C: 0.667 0.333 0.357

---

Entry C
TmNiSnC: relaxed, GGA-PBE.

Results
crystal system = hexagonal

Unit cell a=4.620 b=4.620 c=7.102 alpha=90.00 beta=90.00 gamma=120.00
Sites, in units of the cell vectors:
Tm: 0.333 0.667 0.000
Tm: 0.667 0.333 0.500
Ni: 0.333 0.667 0.593
Ni: 0.667 0.333 0.093
Sn: 0.000 0.000 0.233
Sn: 0.000 0.000 0.733
C: 0.333 0.667 0.337
C: 0.667 0.333 0.837

---

List of relative energies, unit kJ/mol of atoms: entry A 34.7; entry B 0.0; entry C 16.9

---

Entry A
OsC8: relaxed, GGA-PBE.

Results
crystal system = orthorhombic

Unit cell a=8.632 b=7.863 c=5.016 alpha=80.90 beta=64.08 gamma=35.01
Sites, in units of the cell vectors:
Os: 0.125 0.125 0.125
Os: 0.875 0.875 0.875
C: 0.080 0.412 0.336
C: 0.084 0.417 0.832
C: 0.168 0.832 0.417
C: 0.168 0.832 0.916
C: 0.328 0.664 0.588
C: 0.336 0.672 0.080
C: 0.412 0.080 0.672
C: 0.417 0.084 0.168
C: 0.583 0.916 0.832
C: 0.588 0.920 0.328
C: 0.664 0.328 0.920
C: 0.672 0.336 0.412
C: 0.832 0.168 0.084
C: 0.832 0.168 0.583
C: 0.916 0.583 0.168
C: 0.920 0.588 0.664

---

Entry B
OsC8: relaxed, GGA-PBE.

Results
crystal system = hexagonal

Unit cell a=4.930 b=4.930 c=5.918 alpha=90.00 beta=90.00 gamma=120.00
Sites, in units of the cell vectors:
Os: 0.000 0.000 0.000
C: 0.167 0.334 0.500
C: 0.167 0.833 0.500
C: 0.333 0.667 0.500
C: 0.334 0.167 0.500
C: 0.666 0.833 0.500
C: 0.667 0.333 0.500
C: 0.833 0.167 0.500
C: 0.833 0.666 0.500

---

List of relative energies, unit kJ/mol of atoms: entry A 0.0; entry B 33.7

---

Entry A
OsC: relaxed, GGA-PBE.

Results
crystal system = cubic

Unit cell a=4.608 b=4.608 c=4.608 alpha=90.00 beta=90.00 gamma=90.00
Sites, in units of the cell vectors:
Os: 0.000 0.000 0.000
Os: 0.000 0.500 0.500
Os: 0.500 0.000 0.500
Os: 0.500 0.500 0.000
C: 0.250 0.250 0.250
C: 0.250 0.750 0.750
C: 0.750 0.250 0.750
C: 0.750 0.750 0.250

---

Entry B
OsC: relaxed, GGA-PBE.

Results
crystal system = cubic

Unit cell a=4.359 b=4.359 c=4.359 alpha=90.00 beta=90.00 gamma=90.00
Sites, in units of the cell vectors:
Os: 0.000 0.000 0.000
Os: 0.000 0.500 0.500
Os: 0.500 0.000 0.500
Os: 0.500 0.500 0.000
C: 0.000 0.000 0.500
C: 0.000 0.500 0.000
C: 0.500 0.000 0.000
C: 0.500 0.500 0.500

---

List of relative energies, unit kJ/mol of atoms: entry A 0.0; entry B 65.3